# TmTl2CrF6 | Alexandria via LeMat-Bulk | GGA+U | optimized geometry
# Calculated density = 6.77 g/cm3
# Magnetization = 4.74 μB/f.u.
# Crystal system = tetragonal
# E = -108.730 eV/cell
data_TmTl2CrF6
_chemical_formula_sum 'Tm2 Tl4 Cr2 F12'
_cell_length_a 6.578
_cell_length_b 6.578
_cell_length_c 8.428
_cell_angle_alpha 90.00
_cell_angle_beta 90.00
_cell_angle_gamma 90.00
_space_group_name_H-M_alt 'I 4/m m m'
_space_group_IT_number 139
_space_group_name_Hall '-I 4 2'
loop_
_atom_site_label
_atom_site_type_symbol
_atom_site_fract_x
_atom_site_fract_y
_atom_site_fract_z
_atom_site_occupancy
Tm1 Tm 0.000 0.000 0.000 1
Tl1 Tl 0.000 0.500 0.250 1
Cr1 Cr 0.000 0.000 0.500 1
F1 F 0.000 0.000 0.256 1
F2 F 0.231 0.231 0.000 1